Computed, not measured: a relaxed structure of CoTc2NiO8 at the PBE+U level of DFT.

The calculation puts the final energy at -80.99 eV per formula unit.

The structure belongs to space group I-4m2 (No. 119); the cell edges are 6.407, 6.407 and 7.785 Å and the angles 90.00°, 90.00° and 90.00°. The distinct sites, in fractional coordinates, are Co at (0.000, 0.000, 0.000), Tc at (0.000, 0.000, 0.500), Tc at (0.000, 0.500, 0.750), Ni at (0.000, 0.500, 0.250), O at (0.000, 0.223, 0.369) and O at (0.000, 0.272, 0.882).